DFT (GGA-PBE) results for a geometry-optimized TaFeP2Pb structure.

DFT formation energy (eV/atom): 0.5649
VASP energy (eV per atom): -6.40
Space-group type: P4/mmm, No. 123
N(E_F) (states/eV per atom): 1.0394
Volume (Å³/atom): 22.9
M_tot (μB/atom): 0.5775

Cell lengths 4.811, 4.952, 4.811 Å; angles 90.00, 90.00, 90.00 degrees
Last column: magnetic moment on the atom in μB.
Positions (direct):
Fe 0.000 0.500 0.000  2.84
Ta 0.000 0.000 0.000  -0.25
Pb 0.500 0.500 0.500  -0.05
P 0.000 0.000 0.500  0.11
P 0.500 0.000 0.000  0.10

DFT (GGA-PBE) results for a geometry-optimized TlFe2PPb structure.

DFT formation energy (eV/atom): 1.3836
VASP energy (eV per atom): -4.30
Space-group type: P4/mmm, No. 123
N(E_F) (states/eV per atom): 1.7008
Volume (Å³/atom): 25.4
M_tot (μB/atom): 1.1281

Cell lengths 4.978, 5.131, 4.978 Å; angles 90.00, 90.00, 90.00 degrees
Last column: magnetic moment on the atom in μB.
Positions (direct):
Tl 0.000 0.000 0.000  -0.09
Fe 0.000 0.000 0.500  3.04
Fe 0.500 0.000 0.000  2.77
P 0.000 0.500 0.000  0.04
Pb 0.500 0.500 0.500  -0.12

DFT (GGA-PBE) results for a geometry-optimized FeP3Pd structure.

DFT formation energy (eV/atom): 0.4837
VASP energy (eV per atom): -5.49
Space-group type: Pm-3m, No. 221
N(E_F) (states/eV per atom): 0.7213
Volume (Å³/atom): 16.0
M_tot (μB/atom): 0.0000

Cell lengths 4.312, 4.312, 4.312 Å; angles 90.00, 90.00, 90.00 degrees
Positions (direct):
P 0.500 0.000 0.000
P 0.000 0.500 0.000
P 0.000 0.000 0.500
Fe 0.000 0.000 0.000
Pd 0.500 0.500 0.500

DFT (GGA-PBE) results for a geometry-optimized FePPd3 structure.

DFT formation energy (eV/atom): 0.1891
VASP energy (eV per atom): -5.70
Space-group type: Pm-3m, No. 221
N(E_F) (states/eV per atom): 1.3717
Volume (Å³/atom): 17.7
M_tot (μB/atom): 0.7055

Cell lengths 4.452, 4.452, 4.452 Å; angles 90.00, 90.00, 90.00 degrees
Last column: magnetic moment on the atom in μB.
Positions (direct):
Pd 0.500 0.000 0.000  0.05
Pd 0.000 0.500 0.000  0.01
Pd 0.000 0.000 0.500  0.00
P 0.000 0.000 0.000  0.01
Fe 0.500 0.500 0.500  3.35

DFT (GGA-PBE) results for a geometry-optimized FeP2Pd2 structure.

DFT formation energy (eV/atom): -0.3257
VASP energy (eV per atom): -6.26
Space-group type: P4/mbm, No. 127
N(E_F) (states/eV per atom): 0.5360
Volume (Å³/atom): 14.2
M_tot (μB/atom): 0.3196

Cell lengths 5.795, 5.795, 4.218 Å; angles 90.00, 90.00, 90.00 degrees
Last column: magnetic moment on the atom in μB.
Positions (direct):
Fe 0.500 0.500 0.000  1.61
Fe 0.000 0.000 0.000  1.61
Pd 0.261 0.239 0.500  0.07
Pd 0.739 0.761 0.500  0.07
Pd 0.239 0.739 0.500  0.07
Pd 0.761 0.261 0.500  0.07
P 0.367 0.867 0.000  -0.04
P 0.633 0.133 0.000  -0.04
P 0.133 0.367 0.000  -0.04
P 0.867 0.633 0.000  -0.04

DFT (GGA-PBE) results for a geometry-optimized FePPd2 structure.

DFT formation energy (eV/atom): 0.0820
VASP energy (eV per atom): -5.98
Space-group type: I-42d, No. 122
N(E_F) (states/eV per atom): 1.0203
Volume (Å³/atom): 15.2
M_tot (μB/atom): 0.8403

Cell lengths 3.759, 3.759, 9.023 Å; angles 77.98, 77.98, 90.00 degrees
Last column: magnetic moment on the atom in μB.
Positions (direct):
Fe 0.000 0.000 0.000  3.03
Fe 0.750 0.250 0.500  3.03
Pd 0.617 0.125 0.250  0.13
Pd 0.875 0.867 0.750  0.15
Pd 0.375 0.383 0.750  0.15
Pd 0.133 0.625 0.250  0.13
P 0.250 0.750 0.500  -0.01
P 0.500 0.500 0.000  -0.01

DFT (GGA-PBE) results for a geometry-optimized FeP6Pd structure.

DFT formation energy (eV/atom): -0.3886
VASP energy (eV per atom): -6.15
Space-group type: C2/m, No. 12
N(E_F) (states/eV per atom): 0.0271
Volume (Å³/atom): 15.6
M_tot (μB/atom): 0.0000

Cell lengths 6.908, 6.908, 6.844 Å; angles 109.40, 109.36, 110.03 degrees
Positions (direct):
P 0.136 0.364 0.500
P 0.632 0.789 0.127
P 0.496 0.129 0.340
P 0.662 0.505 0.873
P 0.211 0.844 0.340
P 0.504 0.871 0.660
P 0.147 0.658 0.805
P 0.864 0.636 0.500
P 0.853 0.342 0.195
P 0.789 0.156 0.660
P 0.338 0.495 0.127
P 0.368 0.211 0.873
Pd 0.000 0.000 0.500
Pd 0.500 0.500 0.500
Fe 0.500 0.000 0.000
Fe 0.000 0.500 0.000

DFT (GGA-PBE) results for a geometry-optimized FePPd3 structure.

DFT formation energy (eV/atom): 0.9671
VASP energy (eV per atom): -4.92
Space-group type: Pm-3m, No. 221
N(E_F) (states/eV per atom): 0.9090
Volume (Å³/atom): 19.3
M_tot (μB/atom): 0.8607

Cell lengths 4.584, 4.584, 4.584 Å; angles 90.00, 90.00, 90.00 degrees
Last column: magnetic moment on the atom in μB.
Positions (direct):
Pd 0.000 0.000 0.500  0.53
Pd 0.000 0.500 0.000  0.35
Pd 0.500 0.000 0.000  0.15
P 0.500 0.500 0.500  0.04
Fe 0.000 0.000 0.000  3.10